[1]
Li2Er2F7 | GGA-PBE | relaxed

The spin magnetization is 0.9 μB per formula unit. As for the uncorrected formation energy: -3472.3 meV per atom.

The structure belongs to space group C2/m (No. 12); the cell edges are 8.1100, 7.3871 and 5.4549 Å and the angles 90.00°, 107.02° and 90.00°. The distinct sites, in fractional coordinates, are Li at (0.0000, 0.1958, 0.0000), Er at (0.2472, 0.0000, 0.5561), F at (0.0000, 0.5000, 0.5000), F at (0.0381, 0.0000, 0.7512) and F at (0.2145, 0.2258, 0.2619).

[2]
YBAu2F | GGA-PBE | relaxed

The spin magnetization is 0.0 μB per formula unit. As for the uncorrected formation energy: -705.6 meV per atom.

The structure belongs to space group P4/mmm (No. 123); the cell edges are 4.2176, 4.2176 and 5.2245 Å and the angles 90.00°, 90.00° and 90.00°. The distinct sites, in fractional coordinates, are Y at (0.0000, 0.0000, 0.0000), B at (0.0000, 0.0000, 0.5000), Au at (0.0000, 0.5000, 0.5000) and F at (0.5000, 0.5000, 0.0000).

[3]
TbCeAlRu | GGA-PBE | relaxed

The spin magnetization is 0.2 μB per formula unit. The value obtained for the total energy is -98.56 eV/cell.

The structure belongs to space group F-43m (No. 216); the cell edges are 7.0746, 7.0746 and 7.0746 Å and the angles 90.00°, 90.00° and 90.00°. The distinct sites, in fractional coordinates, are Tb at (0.0000, 0.0000, 0.0000), Ce at (0.0000, 0.0000, 0.5000), Al at (0.2500, 0.2500, 0.7500) and Ru at (0.2500, 0.2500, 0.2500).

Look up the spin magnetization of the second one.
0.0 μB per formula unit